1.
## Er2PdPt3 (GGA-PBE)

Data for a geometry-optimized Er2PdPt3 structure.

Geometry as POSCAR:
```
Er2PdPt3
1.0
-3.782 4.241 4.138
3.782 -4.241 4.138
3.782 4.241 -4.138
Er Pd Pt
4 2 6
Cartesian
1.523 1.539 0.000
1.523 -1.539 4.138
2.259 5.781 0.000
2.259 2.702 4.138
3.782 0.000 0.000
0.000 4.241 0.000
3.782 -1.587 2.069
0.000 0.000 2.069
3.782 1.587 2.069
0.000 2.654 2.069
0.000 0.000 6.207
0.000 5.829 2.069
```

## Properties
Space-group type   Ibam, No. 72
Mass density   12.8 g/cm³
E_form   -0.75 eV per atom
Energy above the lowest structure with this stoichiometry   299 meV per atom

2.
## CaVCu (GGA-PBE)

Data for a geometry-optimized CaVCu structure.

Geometry as POSCAR:
```
CaVCu
1.0
8.678 0.000 0.000
0.000 3.138 0.000
0.000 0.000 8.719
Ca V Cu
4 4 4
Cartesian
1.506 0.785 0.745
2.833 2.354 5.104
5.845 0.785 3.615
7.172 2.354 7.974
0.427 0.785 3.596
3.911 2.354 7.956
4.766 0.785 0.763
8.250 2.354 5.123
0.873 0.785 6.612
3.466 2.354 2.252
5.212 0.785 6.467
7.805 2.354 2.107
```

## Properties
Space-group type   Pnma, No. 62
Mass density   4.3 g/cm³
E_form   0.38 eV per atom
Energy above the lowest structure with this stoichiometry   134 meV per atom

3.
## GeH3I6 (GGA-PBE)

Data for a geometry-optimized GeH3I6 structure.

Geometry as POSCAR:
```
GeH3I6
1.0
8.805 0.000 0.000
2.859 8.677 0.000
0.048 3.672 11.612
Ge H I
2 6 12
Cartesian
0.000 0.000 0.000
5.556 7.940 6.802
1.584 2.794 5.178
2.972 3.836 2.286
3.854 6.766 10.710
7.452 7.774 3.428
7.617 5.375 8.353
8.639 5.036 2.919
3.276 9.082 2.484
3.660 10.424 6.212
2.434 4.722 3.619
3.434 7.155 8.292
4.801 11.068 10.492
4.100 2.461 0.625
7.174 9.062 8.628
7.782 9.212 4.176
7.036 5.267 2.596
7.058 5.170 6.779
9.546 11.038 11.313
8.497 5.998 10.527
```

## Properties
E_tot   -2.485 eV/atom
Space-group type   P1, No. 1
Mass density   3.1 g/cm³

4.
## Ac3NdAg6 (GGA-PBE)

Data for a geometry-optimized Ac3NdAg6 structure.

Geometry as POSCAR:
```
Ac3NdAg6
1.0
0.000 5.582 5.582
5.582 0.000 5.582
5.582 5.582 0.000
Ac Nd Ag
3 1 6
Cartesian
0.000 0.000 0.000
2.791 2.791 2.791
8.373 8.373 8.373
5.582 5.582 5.582
5.582 5.582 2.841
5.582 2.841 5.582
8.323 5.582 5.582
2.841 5.582 5.582
5.582 8.323 5.582
5.582 5.582 8.323
```

## Properties
Space-group type   Fm-3m, No. 225
Mass density   7.0 g/cm³
E_form   0.38 eV per atom

5.
## Er8Th3Sc2 (GGA-PBE)

Data for a geometry-optimized Er8Th3Sc2 structure.

Geometry as POSCAR:
```
Er8Th3Sc2
1.0
6.069 0.000 0.000
-1.031 5.984 0.000
-1.970 -0.375 10.780
Er Th Sc
8 3 2
Cartesian
-0.514 2.467 1.678
-0.445 0.369 8.246
0.480 4.687 4.182
0.549 3.643 7.426
2.519 1.966 3.354
2.588 0.922 6.598
3.513 5.241 2.534
3.582 3.143 9.102
0.484 5.724 0.818
2.519 2.992 0.000
2.584 -0.114 9.963
-0.504 1.438 4.999
3.572 4.172 5.781
```

## Properties
Space-group type   P-1, No. 2
Mass density   9.0 g/cm³
E_form   0.04 eV per atom
Energy above the lowest structure with this stoichiometry   0 meV per atom

6.
## Sc2Pd2Pb (GGA-PBE)

Data for a geometry-optimized Sc2Pd2Pb structure.

Geometry as POSCAR:
```
Sc2Pd2Pb
1.0
4.812 0.000 0.000
0.000 4.812 0.000
0.000 0.000 9.568
Sc Pd Pb
4 4 2
Cartesian
0.000 2.406 2.392
0.000 2.406 7.176
2.406 0.000 2.392
2.406 0.000 7.176
0.000 0.000 1.253
0.000 0.000 8.315
2.406 2.406 3.531
2.406 2.406 6.037
0.000 0.000 4.784
2.406 2.406 0.000
```

## Properties
Space-group type   I4/mmm, No. 139
Mass density   7.6 g/cm³
E_form   -0.52 eV per atom

Listing V for the structures above in their given order: 265.53; 237.43; 887.12; 347.86; 391.55; 221.58 Å³/cell.